No. 1
Entry from Alexandria via LeMat-Bulk: Tm2MgSc4 after structural relaxation (PBE).

## Properties
Its crystal system is orthorhombic. As for the energy above the lowest structure with this stoichiometry: 0 meV per atom. As for the energy of formation: 0.49 eV per formula unit.

```
14
Lattice="3.308 0.000 0.000 0.000 33.497 0.000 0.000 0.000 3.298" Properties=species:S:1:pos:R:3 pbc="T T T"
Tm 0.000 6.865 0.000
Tm 0.000 26.632 0.000
Tm 1.654 9.884 0.000
Tm 1.654 23.613 0.000
Mg 0.000 16.749 1.649
Mg 1.654 0.000 1.649
Sc 0.000 2.228 0.000
Sc 0.000 12.268 1.649
Sc 0.000 21.229 1.649
Sc 0.000 31.270 0.000
Sc 1.654 4.481 1.649
Sc 1.654 14.521 0.000
Sc 1.654 18.976 0.000
Sc 1.654 29.017 1.649
```

No. 2
Entry from Alexandria via LeMat-Bulk: TbPm5Er after structural relaxation (PBE).

## Properties
Its crystal system is monoclinic. As for the energy above the lowest structure with this stoichiometry: 0 meV per atom. As for the energy of formation: 1.21 eV per formula unit.

```
14
Lattice="3.084 -8.792 0.000 3.084 8.792 0.000 -1.778 0.000 8.824" Properties=species:S:1:pos:R:3 pbc="T T T"
Tb 0.000 0.000 0.000
Tb -0.889 0.000 4.412
Pm 0.094 3.268 5.699
Pm 1.751 6.293 6.618
Pm 2.333 2.679 0.314
Pm 0.983 -3.268 1.287
Pm 2.946 2.679 4.098
Pm 1.444 -2.679 4.726
Pm 3.407 3.268 7.537
Pm 2.057 -2.679 8.510
Pm 2.639 -6.293 2.206
Pm 4.296 -3.268 3.125
Er 1.751 0.198 6.618
Er 2.639 -0.198 2.206
```

No. 3
Entry from Alexandria via LeMat-Bulk: PaBiSbPd after structural relaxation (PBE).

## Properties
For the final energy, the calculation gives -5.8773 eV/atom. Its crystal system is tetragonal.

```
8
Lattice="4.422 0.000 0.000 0.000 4.422 0.000 0.000 0.000 10.836" Properties=species:S:1:pos:R:3 pbc="T T T"
Pa 1.106 1.106 2.061
Pa 3.317 3.317 8.776
Bi 1.106 3.317 5.418
Bi 3.317 1.106 5.418
Sb 1.106 1.106 9.776
Sb 3.317 3.317 1.060
Pd 1.106 1.106 7.212
Pd 3.317 3.317 3.625
```

No. 4
Entry from Alexandria via LeMat-Bulk: Be2CrTe after structural relaxation (PBE).

## Properties
For the final energy, the calculation gives -4.1830 eV/atom. Its crystal system is trigonal.

```
12
Lattice="2.979 0.000 0.000 -1.490 2.580 0.000 0.000 0.000 24.001" Properties=species:S:1:pos:R:3 pbc="T T T"
Be 0.000 0.000 5.700
Be 0.000 0.000 18.301
Be 0.000 1.720 10.300
Be 0.000 1.720 21.701
Be 1.490 0.860 2.300
Be 1.490 0.860 13.701
Cr 0.000 0.000 12.001
Cr 0.000 1.720 4.000
Cr 1.490 0.860 20.001
Te 0.000 0.000 0.000
Te 0.000 1.720 16.001
Te 1.490 0.860 8.000
```

No. 5
Entry from Alexandria via LeMat-Bulk: La2SmPb after structural relaxation (PBE).

## Properties
Its crystal system is trigonal. As for the energy above the lowest structure with this stoichiometry: 207 meV per atom. As for the energy of formation: -0.63 eV per formula unit.

```
12
Lattice="3.717 0.000 0.000 -1.859 3.219 0.000 0.000 0.000 34.450" Properties=species:S:1:pos:R:3 pbc="T T T"
La 0.000 0.000 0.000
La 0.000 0.000 5.940
La 0.000 2.146 22.966
La 0.000 2.146 28.907
La 1.859 1.073 11.483
La 1.859 1.073 17.424
Sm 0.000 0.000 14.467
Sm 0.000 2.146 2.984
Sm 1.859 1.073 25.951
Pb 0.000 0.000 20.181
Pb 0.000 2.146 8.698
Pb 1.859 1.073 31.664
```

No. 6
Entry from Alexandria via LeMat-Bulk: AlTlTeOs2 after structural relaxation (PBE).

## Properties
For the final energy, the calculation gives -4.8342 eV/atom. Its crystal system is tetragonal.

```
5
Lattice="4.690 0.000 0.000 0.000 4.690 0.000 0.000 0.000 4.945" Properties=species:S:1:pos:R:3 pbc="T T T"
Al 0.000 0.000 0.000
Tl 0.000 0.000 2.472
Te 2.345 2.345 2.472
Os 0.000 2.345 0.000
Os 2.345 0.000 0.000
```

No. 7
Entry from Alexandria via LeMat-Bulk: CoAuSe2 after structural relaxation (PBE).

## Properties
For the final energy, the calculation gives -4.4696 eV/atom. Its crystal system is triclinic.

```
8
Lattice="3.363 0.000 0.000 1.647 6.232 0.000 0.016 2.458 7.625" Properties=species:S:1:pos:R:3 pbc="T T T"
Co 0.850 1.997 3.144
Co 4.176 6.693 4.481
Au 2.487 5.166 0.523
Au 2.539 3.523 7.102
Se 2.495 5.954 2.984
Se 2.494 6.185 6.023
Se 2.532 2.504 1.602
Se 2.532 2.735 4.641
```

No. 8
Entry from Alexandria via LeMat-Bulk: Ba5Sn after structural relaxation (PBE).

## Properties
Its crystal system is orthorhombic. As for the energy of formation: -1.08 eV per formula unit.

```
12
Lattice="5.521 0.000 0.000 0.000 18.615 0.000 0.000 0.000 5.924" Properties=species:S:1:pos:R:3 pbc="T T T"
Ba 0.000 0.000 0.000
Ba 0.000 2.630 2.962
Ba 0.000 6.328 0.000
Ba 0.000 12.287 0.000
Ba 0.000 15.985 2.962
Ba 2.760 2.979 0.000
Ba 2.760 6.677 2.962
Ba 2.760 9.307 0.000
Ba 2.760 11.938 2.962
Ba 2.760 15.635 0.000
Sn 0.000 9.307 2.962
Sn 2.760 0.000 2.962
```